Computed, not measured: a geometry-optimized YTlMo2 structure at the GGA-PBE level of DFT.

Output
ΔE to the lowest computed polymorph = 204 meV/atom
E_tot = -29.08 eV for the cell shown
space group = No. 160
energy of formation = 0.35 eV/atom
total magnetization = 0.00 μB per cell

Lattice parameters (Å, degrees): 9.5156 9.5156 9.5156 19.80 19.80 19.80
Sites, in units of the cell vectors:
Y1 0.0000 0.0000 0.0000
Tl1 0.7656 0.7656 0.7656
Mo1 0.2474 0.2474 0.2474
Mo2 0.5198 0.5198 0.5198